DFT (meta-GGA SCAN) results for a crystal of ZrAgTe2 relaxed with PBEsol.

```
4
Lattice="3.856 0.000 0.000 0.000 3.856 0.000 0.000 0.000 6.569" Properties=species:S:1:pos:R:3 pbc="T T T"
Ag 1.928 1.928 5.009
Te 0.000 0.000 5.996
Te 1.928 1.928 2.165
Zr 0.000 0.000 3.254
```



DFT (meta-GGA SCAN) results for a crystal of Li2YBr relaxed with PBEsol.

## Properties
**E above lowest polymorph**: 0 kJ/mol of formula units

```
4
Lattice="3.375 0.455 0.000 -0.710 4.708 0.000 -1.332 -2.581 5.875" Properties=species:S:1:pos:R:3 pbc="T T T"
Y 1.687 0.228 0.000
Br -0.355 2.354 0.000
Li -0.666 -1.291 2.938
Li 0.666 1.291 2.938
```



| no. | electronic total energy (eV/atom) |
| --- | --- |
| 1 | -34.6074 |
| 2 | -13.4136 |